1.
The following is a GGA-PBE calculation of an optimized crystal structure of TbTlI4, from Alexandria.

a b c (Å): 4.5326 7.9280 8.7416
angles (deg): 100.90 89.99 106.67
Fractional coordinates of all 6 atoms:
I: 0.3831 0.7671 0.1015
I: 0.6169 0.2331 0.8986
I: 0.1207 0.2406 0.3170
I: 0.8793 0.7594 0.6832
Tl: 0.5000 0.9996 0.4996
Tb: 0.0000 0.0001 0.0000

Calculated values
Calculated volume = 49.2 A^3/atom
Formation energy without anion corrections = -1.145 eV per atom
Raw total energy = -0.246 Ry/atom
DOS at the Fermi energy = 0.0 states/eV/f.u.

---

2.
The following is a GGA-PBE calculation of an optimized crystal structure of Tb2TlI3, from Alexandria.

a b c (Å): 4.1417 10.5207 11.0624
angles (deg): 82.37 79.21 78.65
Fractional coordinates of all 12 atoms:
I: 0.7553 0.8761 0.6133
I: 0.2447 0.1239 0.3866
I: 0.9560 0.8695 0.2184
I: 0.6803 0.6773 0.9621
I: 0.3197 0.3227 0.0379
I: 0.0440 0.1305 0.7816
Tb: 0.8749 0.4217 0.8284
Tb: 0.1251 0.5783 0.1716
Tb: 0.6067 0.2166 0.5701
Tb: 0.3933 0.7834 0.4299
Tl: 0.5783 0.4722 0.3711
Tl: 0.4217 0.5278 0.6289

Calculated values
Calculated volume = 38.5 A^3/atom
Formation energy without anion corrections = -0.882 eV per atom
Raw total energy = -0.264 Ry/atom
DOS at the Fermi energy = 2.3 states/eV/f.u.

---

3.
The following is a GGA-PBE calculation of an optimized crystal structure of Tb2TlI, from Alexandria.

a b c (Å): 4.4953 4.4953 7.7123
angles (deg): 73.06 73.06 60.00
Fractional coordinates of all 4 atoms:
Tl: 0.0000 0.0000 0.0000
Tb: 0.2614 0.2614 0.2157
Tb: 0.7386 0.7386 0.7843
I: 0.5000 0.5000 0.5000

Calculated values
Calculated volume = 31.8 A^3/atom
Formation energy without anion corrections = -0.509 eV per atom
Raw total energy = -0.280 Ry/atom
DOS at the Fermi energy = 2.2 states/eV/f.u.

---

4.
The following is a GGA-PBE calculation of an optimized crystal structure of TbTlI4, from Alexandria.

a b c (Å): 4.5282 7.4522 8.7225
angles (deg): 92.54 90.00 90.00
Fractional coordinates of all 6 atoms:
Tl: 0.5000 0.0000 0.5000
Tb: 0.0000 0.0000 0.0000
I: 0.0000 0.2419 0.2850
I: 0.0000 0.7581 0.7150
I: 0.5000 0.2324 0.8666
I: 0.5000 0.7676 0.1334

Calculated values
Calculated volume = 49.0 A^3/atom
Formation energy without anion corrections = -1.145 eV per atom
Raw total energy = -0.246 Ry/atom
DOS at the Fermi energy = 0.0 states/eV/f.u.